1.
Entry from Alexandria via LeMat-Bulk: Ac2Zn3Sn after structural relaxation (GGA-PBE).

Cell lengths 8.576, 9.401, 16.203 Å; angles 90.00, 90.00, 90.00 degrees
Space group Fmmm (No. 69)
One atom of each set of equivalent atoms:
1 Ac 0.242 0.000 0.000 (multiplicity 8)
2 Ac 0.250 0.250 0.250 (multiplicity 8)
3 Zn 0.000 0.000 0.162 (multiplicity 8)
4 Zn 0.000 0.244 0.080 (multiplicity 16)
5 Sn 0.000 0.000 0.335 (multiplicity 8)

DFT formation energy	-438	meV/atom
V	27.2	Å³/atom
total DFT energy (no corrections)	-3.111	eV/atom
Fermi-level density of states	42.30	states/eV per cell

2.
Entry from Alexandria via LeMat-Bulk: Ac4Zn3Sn after structural relaxation (GGA-PBE).

Cell lengths 4.530, 4.817, 11.708 Å; angles 90.00, 90.00, 90.00 degrees
Space group Pmm2 (No. 25)
One atom of each set of equivalent atoms:
1 Ac 0.000 0.000 0.000 (multiplicity 1)
2 Ac 0.000 0.500 0.480 (multiplicity 1)
3 Ac 0.500 0.000 0.697 (multiplicity 1)
4 Ac 0.500 0.500 0.210 (multiplicity 1)
5 Zn 0.000 0.000 0.288 (multiplicity 1)
6 Zn 0.500 0.000 0.408 (multiplicity 1)
7 Zn 0.500 0.500 0.925 (multiplicity 1)
8 Sn 0.000 0.500 0.777 (multiplicity 1)

DFT formation energy	-340	meV/atom
V	31.9	Å³/atom
total DFT energy (no corrections)	-3.373	eV/atom
Fermi-level density of states	8.29	states/eV per cell

3.
Entry from Alexandria via LeMat-Bulk: Ac2ZnSn3 after structural relaxation (GGA-PBE).

Cell lengths 9.032, 9.743, 16.587 Å; angles 90.00, 90.00, 90.00 degrees
Space group Fmmm (No. 69)
One atom of each set of equivalent atoms:
1 Ac 0.240 0.000 0.000 (multiplicity 8)
2 Ac 0.250 0.250 0.250 (multiplicity 8)
3 Zn 0.000 0.000 0.333 (multiplicity 8)
4 Sn 0.000 0.000 0.173 (multiplicity 8)
5 Sn 0.000 0.232 0.413 (multiplicity 16)

DFT formation energy	-561	meV/atom
V	30.4	Å³/atom
total DFT energy (no corrections)	-4.144	eV/atom
Fermi-level density of states	21.44	states/eV per cell

4.
Entry from Alexandria via LeMat-Bulk: Ac3Zn2Sn after structural relaxation (GGA-PBE).

Cell lengths 4.589, 9.661, 8.725 Å; angles 90.00, 90.00, 90.00 degrees
Space group Pmc2_1 (No. 26)
One atom of each set of equivalent atoms:
1 Ac 0.000 0.091 0.000 (multiplicity 2)
2 Ac 0.500 0.257 0.359 (multiplicity 2)
3 Ac 0.500 0.374 0.829 (multiplicity 2)
4 Zn 0.000 0.215 0.631 (multiplicity 2)
5 Zn 0.500 0.065 0.705 (multiplicity 2)
6 Sn 0.000 0.452 0.109 (multiplicity 2)

DFT formation energy	-321	meV/atom
V	32.2	Å³/atom
total DFT energy (no corrections)	-3.467	eV/atom
Fermi-level density of states	14.81	states/eV per cell

5.
Entry from Alexandria via LeMat-Bulk: Ac5Zn2Sn after structural relaxation (GGA-PBE).

Cell lengths 8.917, 8.917, 14.079 Å; angles 90.00, 90.00, 90.00 degrees
Space group I4/mcm (No. 140)
One atom of each set of equivalent atoms:
1 Ac 0.000 0.000 0.000 (multiplicity 4)
2 Ac 0.157 0.343 0.145 (multiplicity 16)
3 Zn 0.136 0.364 0.500 (multiplicity 8)
4 Sn 0.000 0.000 0.250 (multiplicity 4)

DFT formation energy	-311	meV/atom
V	35.0	Å³/atom
total DFT energy (no corrections)	-3.698	eV/atom
Fermi-level density of states	36.51	states/eV per cell

6.
Entry from Alexandria via LeMat-Bulk: Ac5Zn2Sn5 after structural relaxation (GGA-PBE).

Cell lengths 16.948, 4.690, 12.916 Å; angles 90.00, 130.85, 90.00 degrees
Space group C2/m (No. 12)
One atom of each set of equivalent atoms:
1 Ac 0.000 0.000 0.000 (multiplicity 2)
2 Ac 0.105 0.000 0.418 (multiplicity 4)
3 Ac 0.198 0.000 0.824 (multiplicity 4)
4 Zn 0.140 0.500 0.249 (multiplicity 4)
5 Sn 0.000 0.500 0.500 (multiplicity 2)
6 Sn 0.063 0.500 0.857 (multiplicity 4)
7 Sn 0.248 0.500 0.678 (multiplicity 4)

DFT formation energy	-613	meV/atom
V	32.4	Å³/atom
total DFT energy (no corrections)	-4.205	eV/atom
Fermi-level density of states	15.76	states/eV per cell

7.
Entry from Alexandria via LeMat-Bulk: Ac8ZnSn6 after structural relaxation (GGA-PBE).

Cell lengths 10.0156, 10.0156, 20.4999 Å; angles 90.00, 90.00, 120.00 degrees
Space group R-3 (No. 148, hexagonal axes)
One atom of each set of equivalent atoms:
1 Ac 0.0000 0.0000 0.1663 (multiplicity 6)
2 Ac 0.0073 0.7210 0.5946 (multiplicity 18)
3 Zn 0.0000 0.0000 0.5000 (multiplicity 3)
4 Sn 0.0054 0.6350 0.4268 (multiplicity 18)

DFT formation energy	-534	meV/atom
V	39.6	Å³/atom
total DFT energy (no corrections)	-4.411	eV/atom
Fermi-level density of states	25.16	states/eV per cell

8.
Entry from Alexandria via LeMat-Bulk: Ac2Zn3Sn5 after structural relaxation (GGA-PBE).

Cell lengths 4.613, 4.613, 12.879 Å; angles 90.00, 90.00, 90.00 degrees
Space group P-4m2 (No. 115)
One atom of each set of equivalent atoms:
1 Ac 0.000 0.500 0.218 (multiplicity 2)
2 Zn 0.000 0.000 0.000 (multiplicity 1)
3 Zn 0.000 0.500 0.888 (multiplicity 2)
4 Sn 0.000 0.000 0.500 (multiplicity 1)
5 Sn 0.000 0.500 0.680 (multiplicity 2)
6 Sn 0.500 0.500 0.000 (multiplicity 1)
7 Sn 0.500 0.500 0.500 (multiplicity 1)

DFT formation energy	-289	meV/atom
V	27.4	Å³/atom
total DFT energy (no corrections)	-3.494	eV/atom
Fermi-level density of states	5.62	states/eV per cell

9.
Entry from Alexandria via LeMat-Bulk: Ac3ZnSn5 after structural relaxation (GGA-PBE).

Cell lengths 8.1801, 8.1801, 4.7690 Å; angles 90.00, 90.00, 120.00 degrees
Space group P-62m (No. 189)
One atom of each set of equivalent atoms:
1 Ac 0.0000 0.3813 0.0000 (multiplicity 3)
2 Zn 0.0000 0.0000 0.0000 (multiplicity 1)
3 Sn 0.0000 0.7511 0.5000 (multiplicity 3)
4 Sn 0.3333 0.6667 0.5000 (multiplicity 2)

DFT formation energy	-544	meV/atom
V	30.7	Å³/atom
total DFT energy (no corrections)	-4.279	eV/atom
Fermi-level density of states	7.43	states/eV per cell

10.
Entry from Alexandria via LeMat-Bulk: Ac3Zn2Sn after structural relaxation (GGA-PBE).

Cell lengths 3.921, 3.921, 12.242 Å; angles 90.00, 90.00, 90.00 degrees
Space group P4/mmm (No. 123)
One atom of each set of equivalent atoms:
1 Ac 0.000 0.000 0.000 (multiplicity 1)
2 Ac 0.000 0.000 0.321 (multiplicity 2)
3 Zn 0.500 0.500 0.154 (multiplicity 2)
4 Sn 0.500 0.500 0.500 (multiplicity 1)

DFT formation energy	-362	meV/atom
V	31.4	Å³/atom
total DFT energy (no corrections)	-3.508	eV/atom
Fermi-level density of states	5.46	states/eV per cell

11.
Entry from Alexandria via LeMat-Bulk: Ac3ZnSn3 after structural relaxation (GGA-PBE).

Cell lengths 9.7442, 9.7442, 6.7784 Å; angles 90.00, 90.00, 120.00 degrees
Space group P6_3/m (No. 176)
One atom of each set of equivalent atoms:
1 Ac 0.0588 0.6994 0.2500 (multiplicity 6)
2 Zn 0.3333 0.6667 0.7500 (multiplicity 2)
3 Sn 0.0631 0.6868 0.7500 (multiplicity 6)

DFT formation energy	-394	meV/atom
V	39.8	Å³/atom
total DFT energy (no corrections)	-4.053	eV/atom
Fermi-level density of states	13.77	states/eV per cell

12.
Entry from Alexandria via LeMat-Bulk: Ac3ZnSn2 after structural relaxation (GGA-PBE).

Cell lengths 13.224, 4.765, 13.084 Å; angles 90.00, 90.00, 90.00 degrees
Space group Pnma (No. 62)
One atom of each set of equivalent atoms:
1 Ac 0.058 0.250 0.120 (multiplicity 4)
2 Ac 0.122 0.750 0.560 (multiplicity 4)
3 Ac 0.208 0.250 0.797 (multiplicity 4)
4 Zn 0.140 0.250 0.353 (multiplicity 4)
5 Sn 0.024 0.750 0.316 (multiplicity 4)
6 Sn 0.196 0.750 0.996 (multiplicity 4)

DFT formation energy	-582	meV/atom
V	34.4	Å³/atom
total DFT energy (no corrections)	-4.183	eV/atom
Fermi-level density of states	20.58	states/eV per cell

- V of number 6 (Ac5Zn2Sn5)?
  32.4 Å³/atom

- Look up the DFT formation energy of the eleventh one.
  -394 meV/atom

- What is the Fermi-level density of states in the ninth record?
  7.43 states/eV per cell

- What is the formula in the seventh record?
  Ac8ZnSn6